[1]
# PBE-GGA LiTl2As, optimized geometry
data_LiTl2As
_chemical_formula_sum 'Li1 Tl2 As1'
_symmetry_space_group_name_H-M 'P 1'
_symmetry_Int_Tables_number 1
_symmetry_space_group_name_Hall 'P 1'
_cell_length_a 5.2117
_cell_length_b 5.2117
_cell_length_c 5.2117
_cell_angle_alpha 119.75
_cell_angle_beta 119.75
_cell_angle_gamma 90.44
loop_
_atom_site_label
_atom_site_fract_x
_atom_site_fract_y
_atom_site_fract_z
As1 0.5000 0.5000 0.0000
Tl1 0.2500 0.7500 0.5000
Tl2 0.0000 0.0000 0.0000
Li1 0.7500 0.2500 0.5000
# SG = I-4m2
# Magnetization = 0.00 μB/cell
# ΔE_f = -78 meV per atom
# ΔE to the lowest computed polymorph = 154 meV/atom

***

[2]
# PBE-GGA HfMgRuPt, optimized geometry
data_HfMgRuPt
_chemical_formula_sum 'Hf1 Mg1 Ru1 Pt1'
_symmetry_space_group_name_H-M 'P 1'
_symmetry_Int_Tables_number 1
_symmetry_space_group_name_Hall 'P 1'
_cell_length_a 4.5324
_cell_length_b 4.5324
_cell_length_c 4.5324
_cell_angle_alpha 60.00
_cell_angle_beta 60.00
_cell_angle_gamma 60.00
loop_
_atom_site_label
_atom_site_fract_x
_atom_site_fract_y
_atom_site_fract_z
Ru1 0.2500 0.2500 0.2500
Pt1 0.7500 0.7500 0.7500
Hf1 0.0000 0.0000 0.0000
Mg1 0.5000 0.5000 0.5000
# SG = F-43m
# Magnetization = 0.00 μB/cell
# ΔE_f = -778 meV per atom

***

[3]
# PBE-GGA Tm3BeC, optimized geometry
data_Tm3BeC
_chemical_formula_sum 'Tm3 Be1 C1'
_symmetry_space_group_name_H-M 'P 1'
_symmetry_Int_Tables_number 1
_symmetry_space_group_name_Hall 'P 1'
_cell_length_a 4.7612
_cell_length_b 4.7612
_cell_length_c 4.7612
_cell_angle_alpha 90.00
_cell_angle_beta 90.00
_cell_angle_gamma 90.00
loop_
_atom_site_label
_atom_site_fract_x
_atom_site_fract_y
_atom_site_fract_z
Tm1 0.0000 0.0000 0.5000
Tm2 0.0000 0.5000 0.0000
Tm3 0.5000 0.0000 0.0000
Be1 0.5000 0.5000 0.5000
C1 0.0000 0.0000 0.0000
# SG = Pm-3m
# Magnetization = 0.88 μB/cell
# ΔE_f = -33 meV per atom

***

[4]
# PBE-GGA KNa2CdAu, optimized geometry
data_KNa2CdAu
_chemical_formula_sum 'K1 Na2 Cd1 Au1'
_symmetry_space_group_name_H-M 'P 1'
_symmetry_Int_Tables_number 1
_symmetry_space_group_name_Hall 'P 1'
_cell_length_a 5.6913
_cell_length_b 5.6913
_cell_length_c 5.4349
_cell_angle_alpha 90.00
_cell_angle_beta 90.00
_cell_angle_gamma 90.00
loop_
_atom_site_label
_atom_site_fract_x
_atom_site_fract_y
_atom_site_fract_z
Na1 0.0000 0.5000 0.0000
Au1 0.0000 0.0000 0.0000
K1 0.5000 0.5000 0.5000
Cd1 0.0000 0.0000 0.5000
Na2 0.5000 0.0000 0.0000
# SG = P4/mmm
# Magnetization = 0.00 μB/cell
# ΔE_f = -151 meV per atom
# ΔE to the lowest computed polymorph = 0 meV/atom

***

Repeat the third record exactly.
# PBE-GGA Tm3BeC, optimized geometry
data_Tm3BeC
_chemical_formula_sum 'Tm3 Be1 C1'
_symmetry_space_group_name_H-M 'P 1'
_symmetry_Int_Tables_number 1
_symmetry_space_group_name_Hall 'P 1'
_cell_length_a 4.7612
_cell_length_b 4.7612
_cell_length_c 4.7612
_cell_angle_alpha 90.00
_cell_angle_beta 90.00
_cell_angle_gamma 90.00
loop_
_atom_site_label
_atom_site_fract_x
_atom_site_fract_y
_atom_site_fract_z
Tm1 0.0000 0.0000 0.5000
Tm2 0.0000 0.5000 0.0000
Tm3 0.5000 0.0000 0.0000
Be1 0.5000 0.5000 0.5000
C1 0.0000 0.0000 0.0000
# SG = Pm-3m
# Magnetization = 0.88 μB/cell
# ΔE_f = -33 meV per atom